Model i:
HgPd4Pb: relaxed, PBE. Values from VASP.

Cell and atoms, written as Quantum ESPRESSO input:
```
&SYSTEM
  ibrav = 0, nat = 12, ntyp = 3
/
ATOMIC_SPECIES
Hg 200.59 Hg.upf
Pd 106.42 Pd.upf
Pb 207.20 Pb.upf
CELL_PARAMETERS angstrom
3.099 0.000 0.000
0.000 8.119 0.000
-1.549 0.000 8.710
ATOMIC_POSITIONS crystal
Hg 0.239 0.750 0.478
Hg 0.761 0.250 0.522
Pd 0.596 0.750 0.192
Pd 0.161 0.039 0.323
Pd 0.839 0.539 0.677
Pd 0.839 0.961 0.677
Pd 0.000 0.500 0.000
Pd 0.000 0.000 0.000
Pd 0.404 0.250 0.808
Pd 0.161 0.461 0.323
Pb 0.433 0.750 0.866
Pb 0.567 0.250 0.134
```

***

Model ii:
HgPd4Pb: relaxed, PBE. Values from VASP.

Cell and atoms, written as Quantum ESPRESSO input:
```
&SYSTEM
  ibrav = 0, nat = 6, ntyp = 3
/
ATOMIC_SPECIES
Pd 106.42 Pd.upf
Hg 200.59 Hg.upf
Pb 207.20 Pb.upf
CELL_PARAMETERS angstrom
3.004 0.000 0.869
1.603 4.734 0.086
-0.518 -0.939 7.419
ATOMIC_POSITIONS crystal
Pd 0.662 0.008 0.669
Pd 0.338 0.992 0.331
Pd 0.171 0.495 0.163
Pd 0.829 0.505 0.837
Hg 0.000 0.000 0.000
Pb 0.500 0.500 0.500
```

***

The computed energies, referenced to the most stable structure and given in kJ/mol of atoms, are model i 7.3; model ii 0.0.

***

Model i:
Hg3Pd6Pb: relaxed, PBE. Values from VASP.

Cell and atoms, written as Quantum ESPRESSO input:
```
&SYSTEM
  ibrav = 0, nat = 20, ntyp = 3
/
ATOMIC_SPECIES
Pd 106.42 Pd.upf
Hg 200.59 Hg.upf
Pb 207.20 Pb.upf
CELL_PARAMETERS angstrom
4.790 0.000 0.000
0.000 7.340 -2.816
0.000 -0.244 10.293
ATOMIC_POSITIONS crystal
Pd 0.250 0.239 0.524
Pd 0.250 0.842 0.330
Pd 0.250 0.434 0.114
Pd 0.250 0.139 0.217
Pd 0.750 0.761 0.476
Pd 0.750 0.158 0.670
Pd 0.750 0.960 0.077
Pd 0.250 0.040 0.923
Pd 0.750 0.566 0.886
Pd 0.750 0.861 0.783
Pd 0.250 0.643 0.727
Pd 0.750 0.357 0.273
Hg 0.250 0.757 0.026
Hg 0.750 0.649 0.179
Hg 0.750 0.243 0.974
Hg 0.250 0.351 0.821
Hg 0.750 0.481 0.595
Hg 0.250 0.519 0.405
Pb 0.750 0.070 0.371
Pb 0.250 0.930 0.629
```

***

Model ii:
Hg3Pd6Pb: relaxed, PBE. Values from VASP.

Cell and atoms, written as Quantum ESPRESSO input:
```
&SYSTEM
  ibrav = 0, nat = 20, ntyp = 3
/
ATOMIC_SPECIES
Hg 200.59 Hg.upf
Pd 106.42 Pd.upf
Pb 207.20 Pb.upf
CELL_PARAMETERS angstrom
5.614 0.000 0.000
0.000 8.457 -0.386
0.000 -2.263 8.158
ATOMIC_POSITIONS crystal
Hg 0.675 0.587 0.413
Hg 0.032 0.141 0.289
Hg 0.532 0.289 0.141
Hg 0.532 0.859 0.711
Hg 0.032 0.711 0.859
Hg 0.175 0.413 0.587
Pd 0.116 0.459 0.267
Pd 0.116 0.733 0.541
Pd 0.289 0.996 0.004
Pd 0.616 0.541 0.733
Pd 0.616 0.267 0.459
Pd 0.304 0.024 0.502
Pd 0.804 0.976 0.498
Pd 0.804 0.502 0.024
Pd 0.064 0.781 0.219
Pd 0.304 0.498 0.976
Pd 0.789 0.004 0.996
Pd 0.564 0.219 0.781
Pb 0.052 0.183 0.817
Pb 0.552 0.817 0.183
```

***

The computed energies, referenced to the most stable structure and given in kJ/mol of atoms, are model i 0.0; model ii 8.4.

***

Model i:
HgPd3Pb3: relaxed, PBE. Values from VASP.

Cell and atoms, written as Quantum ESPRESSO input:
```
&SYSTEM
  ibrav = 0, nat = 14, ntyp = 3
/
ATOMIC_SPECIES
Pd 106.42 Pd.upf
Pb 207.20 Pb.upf
Hg 200.59 Hg.upf
CELL_PARAMETERS angstrom
6.977 0.282 2.384
1.792 6.749 2.384
0.352 0.282 7.365
ATOMIC_POSITIONS crystal
Pd 0.298 0.950 0.583
Pd 0.050 0.417 0.702
Pd 0.417 0.702 0.050
Pd 0.702 0.050 0.417
Pd 0.583 0.298 0.950
Pd 0.950 0.583 0.298
Pb 0.611 0.880 0.186
Pb 0.814 0.389 0.120
Pb 0.120 0.814 0.389
Pb 0.186 0.611 0.880
Pb 0.880 0.186 0.611
Pb 0.389 0.120 0.814
Hg 0.664 0.664 0.664
Hg 0.336 0.336 0.336
```

***

Model ii:
HgPd3Pb3: relaxed, PBE. Values from VASP.

Cell and atoms, written as Quantum ESPRESSO input:
```
&SYSTEM
  ibrav = 0, nat = 14, ntyp = 3
/
ATOMIC_SPECIES
Pd 106.42 Pd.upf
Pb 207.20 Pb.upf
Hg 200.59 Hg.upf
CELL_PARAMETERS angstrom
-3.873 -0.602 5.436
6.100 0.251 2.764
-0.481 7.256 0.520
ATOMIC_POSITIONS crystal
Pd 0.924 0.924 0.183
Pd 0.076 0.076 0.817
Pd 0.994 0.507 0.286
Pd 0.507 0.994 0.286
Pd 0.006 0.493 0.714
Pd 0.493 0.006 0.714
Pb 0.161 0.839 0.500
Pb 0.392 0.392 0.680
Pb 0.608 0.608 0.320
Pb 0.754 0.246 0.000
Pb 0.839 0.161 0.500
Pb 0.246 0.754 0.000
Hg 0.737 0.737 0.848
Hg 0.263 0.263 0.152
```

***

The computed energies, referenced to the most stable structure and given in kJ/mol of atoms, are model i 0.0; model ii 1.8.

***

Model i:
Rb2HgPdPb: relaxed, PBE. Values from VASP.

Cell and atoms, written as Quantum ESPRESSO input:
```
&SYSTEM
  ibrav = 0, nat = 5, ntyp = 4
/
ATOMIC_SPECIES
Pd 106.42 Pd.upf
Rb 85.47 Rb.upf
Hg 200.59 Hg.upf
Pb 207.20 Pb.upf
CELL_PARAMETERS angstrom
6.577 0.000 0.000
0.000 6.577 0.000
0.000 0.000 5.224
ATOMIC_POSITIONS crystal
Pd 0.000 0.000 0.000
Rb 0.500 0.000 0.000
Rb 0.000 0.500 0.000
Hg 0.500 0.500 0.500
Pb 0.000 0.000 0.500
```

***

Model ii:
Rb2HgPdPb: relaxed, PBE. Values from VASP.

Cell and atoms, written as Quantum ESPRESSO input:
```
&SYSTEM
  ibrav = 0, nat = 5, ntyp = 4
/
ATOMIC_SPECIES
Pd 106.42 Pd.upf
Rb 85.47 Rb.upf
Hg 200.59 Hg.upf
Pb 207.20 Pb.upf
CELL_PARAMETERS angstrom
-5.141 2.261 -3.576
-2.921 0.063 4.238
1.906 6.262 1.220
ATOMIC_POSITIONS crystal
Pd 0.000 0.500 0.000
Rb 0.500 0.000 0.000
Rb 0.000 0.000 0.500
Hg 0.000 0.000 0.000
Pb 0.500 0.500 0.500
```

***

The computed energies, referenced to the most stable structure and given in kJ/mol of atoms, are model i 0.0; model ii 31.1.